Record 1
Density functional theory data (PBE-GGA) for a relaxed structure of Mg2GePd2.

It has space group P4/mbm (No. 127), with a = 7.559 Å, b = 7.559 Å, c = 3.044 Å, α = 90.00°, β = 90.00° and γ = 90.00°. Symmetry generates all atoms from Mg at (0.145, 0.355, 0.000), Ge at (0.000, 0.000, 0.000) and Pd at (0.150, 0.650, 0.500).

For the energy of formation from the pure elements, the calculation gives -0.38 eV per atom. Its energy above the most stable polymorph in this dataset is 18.0 kJ per mole of atoms.

Record 2
Density functional theory data (PBE-GGA) for a relaxed structure of BRhS2.

It has space group R-3m (No. 166, hexagonal axes), with a = 2.9929 Å, b = 2.9929 Å, c = 20.6004 Å, α = 90.00°, β = 90.00° and γ = 120.00°. Symmetry generates all atoms from B at (0.0000, 0.0000, 0.0000), Rh at (0.0000, 0.0000, 0.5000) and S at (0.0000, 0.0000, 0.3911).

The calculation puts the energy relative to the elements, uncorrected at 198.3 meV/atom. Its energy above the most stable polymorph in this dataset is 32.2 kJ per mole of atoms.

Record 3
Density functional theory data (PBE-GGA) for a relaxed structure of CaSm2Ga.

It has space group P4/mmm (No. 123), with a = 4.910 Å, b = 4.910 Å, c = 4.728 Å, α = 90.00°, β = 90.00° and γ = 90.00°. Symmetry generates all atoms from Ca at (0.000, 0.000, 0.000), Sm at (0.000, 0.500, 0.500) and Ga at (0.500, 0.500, 0.000).

For the energy of formation from the pure elements, the calculation gives -0.17 eV per atom. Its energy above the most stable polymorph in this dataset is 5.5 kJ per mole of atoms.

Record 4
Density functional theory data (PBE-GGA) for a relaxed structure of BiPb2BrO.

It has space group P4/mmm (No. 123), with a = 5.963 Å, b = 5.963 Å, c = 4.024 Å, α = 90.00°, β = 90.00° and γ = 90.00°. Symmetry generates all atoms from Bi at (0.000, 0.000, 0.000), Pb at (0.000, 0.500, 0.500), Br at (0.500, 0.500, 0.500) and O at (0.500, 0.500, 0.000).

The calculation puts the energy relative to the elements, uncorrected at 191.2 meV/atom.

Record 5
Density functional theory data (PBE-GGA) for a relaxed structure of Nb3Os.

It has space group Immm (No. 71), with a = 3.231 Å, b = 4.576 Å, c = 9.246 Å, α = 90.00°, β = 90.00° and γ = 90.00°. Symmetry generates all atoms from Nb at (0.000, 0.000, 0.000), Nb at (0.000, 0.500, 0.247) and Os at (0.000, 0.000, 0.500).

For the energy of formation from the pure elements, the calculation gives -0.23 eV per atom.

Record 6
Density functional theory data (PBE-GGA) for a relaxed structure of Rb2NbTcBr6.

It has space group I4/mmm (No. 139), with a = 7.527 Å, b = 7.527 Å, c = 10.686 Å, α = 90.00°, β = 90.00° and γ = 90.00°. Symmetry generates all atoms from Rb at (0.000, 0.500, 0.250), Nb at (0.000, 0.000, 0.000), Tc at (0.000, 0.000, 0.500), Br at (0.000, 0.000, 0.253) and Br at (0.247, 0.247, 0.500).

The calculation puts the energy relative to the elements, uncorrected at -685.3 meV/atom.

Record 7
Density functional theory data (PBE-GGA) for a relaxed structure of LaNd12Sm2.

It has space group Cmme (No. 67), with a = 7.235 Å, b = 11.705 Å, c = 25.326 Å, α = 90.00°, β = 90.00° and γ = 90.00°. Symmetry generates all atoms from La at (0.000, 0.250, 0.002), Nd at (0.000, 0.005, 0.923), Nd at (0.000, 0.025, 0.441), Nd at (0.229, 0.250, 0.582), Nd at (0.247, 0.250, 0.132), Nd at (0.250, 0.000, 0.201), Nd at (0.250, 0.000, 0.327), Sm at (0.000, 0.250, 0.274) and Sm at (0.000, 0.250, 0.731).

For the energy of formation from the pure elements, the calculation gives 0.15 eV per atom.

Record 8
Density functional theory data (PBE-GGA) for a relaxed structure of Ce2PuCu.

It has space group Fm-3m (No. 225), with a = 7.149 Å, b = 7.149 Å, c = 7.149 Å, α = 90.00°, β = 90.00° and γ = 90.00°. Symmetry generates all atoms from Ce at (0.250, 0.250, 0.250), Pu at (0.000, 0.000, 0.000) and Cu at (0.000, 0.000, 0.500).

For the energy of formation from the pure elements, the calculation gives 0.06 eV per atom. Its energy above the most stable polymorph in this dataset is 5.0 kJ per mole of atoms.

| no. | N(E_F) (states/eV/cell) | total DFT energy (no corrections) (eV/atom) |
| --- | --- | --- |
| 1 | 2.3 | -4.014 |
| 2 | 5.7 | -5.373 |
| 3 | 4.1 | -3.788 |
| 4 | 1.6 | -3.394 |
| 5 | 3.7 | -10.588 |
| 6 | 26.2 | -3.926 |
| 7 | 86.2 | -4.625 |
| 8 | 23.3 | -7.511 |